Record 1
Density functional theory data (PBE-GGA) for crystalline Sr2SnS2Cl2 at its relaxed geometry.

a = 5.3644 Å, b = 5.3644 Å, c = 15.1677 Å
α = 90.00°, β = 90.00°, γ = 90.00°
Space group I4/mmm (No. 139)
Unique sites:
Sr: 0.0000 0.0000 0.1170
Sn: 0.0000 0.0000 0.5000
S: 0.0000 0.5000 0.0000
Cl: 0.0000 0.0000 0.3014

Computed properties:
formation energy from raw total energies	-1.53	eV per atom
total magnetization	0.00	μB per cell

Record 2
Density functional theory data (PBE-GGA) for crystalline SrSnSCl2 at its relaxed geometry.

a = 5.3664 Å, b = 5.3664 Å, c = 5.8400 Å
α = 90.00°, β = 90.00°, γ = 90.00°
Space group P4/mmm (No. 123)
Unique sites:
Sr: 0.0000 0.0000 0.0000
Sn: 0.5000 0.5000 0.5000
S: 0.0000 0.0000 0.5000
Cl: 0.0000 0.5000 0.0000

Computed properties:
formation energy from raw total energies	-0.94	eV per atom
polymorph energy (0 for the lowest one)	143.6	meV per atom
total magnetization	0.00	μB per cell

Record 3
Density functional theory data (PBE-GGA) for crystalline SrSnSCl2 at its relaxed geometry.

a = 5.3383 Å, b = 5.3383 Å, c = 5.5062 Å
α = 90.00°, β = 90.00°, γ = 90.00°
Space group P4/mmm (No. 123)
Unique sites:
Sr: 0.0000 0.0000 0.0000
Sn: 0.5000 0.5000 0.5000
S: 0.5000 0.5000 0.0000
Cl: 0.0000 0.5000 0.5000

Computed properties:
formation energy from raw total energies	-1.09	eV per atom
polymorph energy (0 for the lowest one)	0.0	meV per atom
total magnetization	0.00	μB per cell

Record 4
Density functional theory data (PBE-GGA) for crystalline TaSnSCl2 at its relaxed geometry.

a = 5.1636 Å, b = 5.1636 Å, c = 5.2717 Å
α = 90.00°, β = 90.00°, γ = 90.00°
Space group P4/mmm (No. 123)
Unique sites:
Ta: 0.0000 0.0000 0.0000
Sn: 0.5000 0.5000 0.5000
S: 0.5000 0.5000 0.0000
Cl: 0.0000 0.5000 0.5000

Computed properties:
formation energy from raw total energies	0.77	eV per atom
polymorph energy (0 for the lowest one)	1041.9	meV per atom
total magnetization	3.60	μB per cell

Record 5
Density functional theory data (PBE-GGA) for crystalline TaSnSCl2 at its relaxed geometry.

a = 4.9097 Å, b = 4.9097 Å, c = 4.8209 Å
α = 90.00°, β = 90.00°, γ = 90.00°
Space group P4/mmm (No. 123)
Unique sites:
Ta: 0.0000 0.0000 0.0000
Sn: 0.5000 0.5000 0.5000
S: 0.0000 0.0000 0.5000
Cl: 0.0000 0.5000 0.0000

Computed properties:
formation energy from raw total energies	-0.27	eV per atom
polymorph energy (0 for the lowest one)	0.0	meV per atom
total magnetization	0.00	μB per cell

Record 6
Density functional theory data (PBE-GGA) for crystalline SnTeSCl2 at its relaxed geometry.

a = 5.3186 Å, b = 5.3186 Å, c = 5.2905 Å
α = 90.00°, β = 90.00°, γ = 90.00°
Space group P4/mmm (No. 123)
Unique sites:
Sn: 0.0000 0.0000 0.0000
Te: 0.5000 0.5000 0.5000
S: 0.5000 0.5000 0.0000
Cl: 0.0000 0.5000 0.5000

Computed properties:
formation energy from raw total energies	0.09	eV per atom
polymorph energy (0 for the lowest one)	85.6	meV per atom
total magnetization	0.00	μB per cell

Record 7
Density functional theory data (PBE-GGA) for crystalline SnTeSCl2 at its relaxed geometry.

a = 5.3645 Å, b = 5.3645 Å, c = 5.1143 Å
α = 90.00°, β = 90.00°, γ = 90.00°
Space group P4/mmm (No. 123)
Unique sites:
Sn: 0.0000 0.0000 0.0000
Te: 0.5000 0.5000 0.5000
S: 0.0000 0.0000 0.5000
Cl: 0.0000 0.5000 0.0000

Computed properties:
formation energy from raw total energies	0.01	eV per atom
polymorph energy (0 for the lowest one)	0.0	meV per atom
total magnetization	2.91	μB per cell

Record 8
Density functional theory data (PBE-GGA) for crystalline SnTeS2Cl at its relaxed geometry.

a = 5.2186 Å, b = 5.2186 Å, c = 5.0803 Å
α = 90.00°, β = 90.00°, γ = 90.00°
Space group P4/mmm (No. 123)
Unique sites:
Sn: 0.0000 0.0000 0.0000
Te: 0.5000 0.5000 0.5000
S: 0.0000 0.5000 0.5000
Cl: 0.5000 0.5000 0.0000

Computed properties:
formation energy from raw total energies	0.14	eV per atom
polymorph energy (0 for the lowest one)	0.0	meV per atom
total magnetization	0.00	μB per cell

Record 9
Density functional theory data (PBE-GGA) for crystalline TiSnSCl2 at its relaxed geometry.

a = 4.8710 Å, b = 4.8710 Å, c = 4.8705 Å
α = 90.00°, β = 90.00°, γ = 90.00°
Space group P4/mmm (No. 123)
Unique sites:
Ti: 0.0000 0.0000 0.0000
Sn: 0.5000 0.5000 0.5000
S: 0.0000 0.0000 0.5000
Cl: 0.0000 0.5000 0.0000

Computed properties:
formation energy from raw total energies	-0.75	eV per atom
polymorph energy (0 for the lowest one)	0.0	meV per atom
total magnetization	1.52	μB per cell

Record 10
Density functional theory data (PBE-GGA) for crystalline TiSnSCl2 at its relaxed geometry.

a = 5.2554 Å, b = 5.2554 Å, c = 5.2320 Å
α = 90.00°, β = 90.00°, γ = 90.00°
Space group P4/mmm (No. 123)
Unique sites:
Ti: 0.0000 0.0000 0.0000
Sn: 0.5000 0.5000 0.5000
S: 0.5000 0.5000 0.0000
Cl: 0.0000 0.5000 0.5000

Computed properties:
formation energy from raw total energies	0.19	eV per atom
polymorph energy (0 for the lowest one)	941.0	meV per atom
total magnetization	0.10	μB per cell

Record 11
Density functional theory data (PBE-GGA) for crystalline TlSnSCl2 at its relaxed geometry.

a = 5.4434 Å, b = 5.4434 Å, c = 5.0191 Å
α = 90.00°, β = 90.00°, γ = 90.00°
Space group P4/mmm (No. 123)
Unique sites:
Tl: 0.0000 0.0000 0.0000
Sn: 0.5000 0.5000 0.5000
S: 0.5000 0.5000 0.0000
Cl: 0.0000 0.5000 0.5000

Computed properties:
formation energy from raw total energies	-0.66	eV per atom
polymorph energy (0 for the lowest one)	0.0	meV per atom
total magnetization	0.00	μB per cell

Record 12
Density functional theory data (PBE-GGA) for crystalline TlSnS2Cl at its relaxed geometry.

a = 5.1661 Å, b = 5.1661 Å, c = 5.1789 Å
α = 90.00°, β = 90.00°, γ = 90.00°
Space group P4/mmm (No. 123)
Unique sites:
Tl: 0.0000 0.0000 0.0000
Sn: 0.5000 0.5000 0.5000
S: 0.0000 0.5000 0.0000
Cl: 0.0000 0.0000 0.5000

Computed properties:
formation energy from raw total energies	0.10	eV per atom
polymorph energy (0 for the lowest one)	435.6	meV per atom
total magnetization	0.00	μB per cell

Record 13
Density functional theory data (PBE-GGA) for crystalline TlSnS2Cl at its relaxed geometry.

a = 5.0441 Å, b = 5.0441 Å, c = 5.4128 Å
α = 90.00°, β = 90.00°, γ = 90.00°
Space group P4/mmm (No. 123)
Unique sites:
Tl: 0.0000 0.0000 0.0000
Sn: 0.5000 0.5000 0.5000
S: 0.0000 0.5000 0.5000
Cl: 0.5000 0.5000 0.0000

Computed properties:
formation energy from raw total energies	-0.34	eV per atom
polymorph energy (0 for the lowest one)	0.0	meV per atom
total magnetization	0.00	μB per cell

Record 14
Density functional theory data (PBE-GGA) for crystalline TlSnSCl2 at its relaxed geometry.

a = 5.3728 Å, b = 5.3728 Å, c = 5.1708 Å
α = 90.00°, β = 90.00°, γ = 90.00°
Space group P4/mmm (No. 123)
Unique sites:
Tl: 0.0000 0.0000 0.0000
Sn: 0.5000 0.5000 0.5000
S: 0.0000 0.0000 0.5000
Cl: 0.0000 0.5000 0.0000

Computed properties:
formation energy from raw total energies	-0.14	eV per atom
polymorph energy (0 for the lowest one)	519.5	meV per atom
total magnetization	0.00	μB per cell

Record 15
Density functional theory data (PBE-GGA) for crystalline VSnS2Cl at its relaxed geometry.

a = 4.6852 Å, b = 4.6852 Å, c = 4.6811 Å
α = 90.00°, β = 90.00°, γ = 90.00°
Space group P4/mmm (No. 123)
Unique sites:
V: 0.0000 0.0000 0.0000
Sn: 0.5000 0.5000 0.5000
S: 0.0000 0.5000 0.0000
Cl: 0.0000 0.0000 0.5000

Computed properties:
formation energy from raw total energies	-0.40	eV per atom
polymorph energy (0 for the lowest one)	0.0	meV per atom
total magnetization	0.00	μB per cell

Record 16
Density functional theory data (PBE-GGA) for crystalline VSnS2Cl at its relaxed geometry.

a = 5.0515 Å, b = 5.0515 Å, c = 5.0054 Å
α = 90.00°, β = 90.00°, γ = 90.00°
Space group P4/mmm (No. 123)
Unique sites:
V: 0.0000 0.0000 0.0000
Sn: 0.5000 0.5000 0.5000
S: 0.0000 0.5000 0.5000
Cl: 0.5000 0.5000 0.0000

Computed properties:
formation energy from raw total energies	0.35	eV per atom
polymorph energy (0 for the lowest one)	749.3	meV per atom
total magnetization	3.25	μB per cell

Record 17
Density functional theory data (PBE-GGA) for crystalline VSnSCl2 at its relaxed geometry.

a = 5.2376 Å, b = 5.2376 Å, c = 5.2186 Å
α = 90.00°, β = 90.00°, γ = 90.00°
Space group P4/mmm (No. 123)
Unique sites:
V: 0.0000 0.0000 0.0000
Sn: 0.5000 0.5000 0.5000
S: 0.5000 0.5000 0.0000
Cl: 0.0000 0.5000 0.5000

Computed properties:
formation energy from raw total energies	0.16	eV per atom
polymorph energy (0 for the lowest one)	711.8	meV per atom
total magnetization	3.63	μB per cell

Record 18
Density functional theory data (PBE-GGA) for crystalline VSnSCl2 at its relaxed geometry.

a = 4.7750 Å, b = 4.7750 Å, c = 4.9168 Å
α = 90.00°, β = 90.00°, γ = 90.00°
Space group P4/mmm (No. 123)
Unique sites:
V: 0.0000 0.0000 0.0000
Sn: 0.5000 0.5000 0.5000
S: 0.0000 0.0000 0.5000
Cl: 0.0000 0.5000 0.0000

Computed properties:
formation energy from raw total energies	-0.56	eV per atom
polymorph energy (0 for the lowest one)	0.0	meV per atom
total magnetization	2.96	μB per cell

Record 19
Density functional theory data (PBE-GGA) for crystalline SnWSCl2 at its relaxed geometry.

a = 4.9554 Å, b = 4.9554 Å, c = 4.6126 Å
α = 90.00°, β = 90.00°, γ = 90.00°
Space group P4/mmm (No. 123)
Unique sites:
Sn: 0.0000 0.0000 0.0000
W: 0.5000 0.5000 0.5000
S: 0.5000 0.5000 0.0000
Cl: 0.0000 0.5000 0.5000

Computed properties:
formation energy from raw total energies	0.10	eV per atom
polymorph energy (0 for the lowest one)	0.0	meV per atom
total magnetization	0.27	μB per cell

Record 20
Density functional theory data (PBE-GGA) for crystalline SnWSCl2 at its relaxed geometry.

a = 5.1284 Å, b = 5.1284 Å, c = 5.2882 Å
α = 90.00°, β = 90.00°, γ = 90.00°
Space group P4/mmm (No. 123)
Unique sites:
Sn: 0.0000 0.0000 0.0000
W: 0.5000 0.5000 0.5000
S: 0.0000 0.0000 0.5000
Cl: 0.0000 0.5000 0.0000

Computed properties:
formation energy from raw total energies	0.94	eV per atom
polymorph energy (0 for the lowest one)	845.8	meV per atom
total magnetization	4.75	μB per cell

Record 21
Density functional theory data (PBE-GGA) for crystalline SnWS2Cl at its relaxed geometry.

a = 4.6819 Å, b = 4.6819 Å, c = 5.0314 Å
α = 90.00°, β = 90.00°, γ = 90.00°
Space group P4/mmm (No. 123)
Unique sites:
Sn: 0.0000 0.0000 0.0000
W: 0.5000 0.5000 0.5000
S: 0.0000 0.5000 0.5000
Cl: 0.5000 0.5000 0.0000

Computed properties:
formation energy from raw total energies	-0.02	eV per atom
polymorph energy (0 for the lowest one)	0.0	meV per atom
total magnetization	0.07	μB per cell

Record 22
Density functional theory data (PBE-GGA) for crystalline SnWS2Cl at its relaxed geometry.

a = 5.0518 Å, b = 5.0518 Å, c = 4.9278 Å
α = 90.00°, β = 90.00°, γ = 90.00°
Space group P4/mmm (No. 123)
Unique sites:
Sn: 0.0000 0.0000 0.0000
W: 0.5000 0.5000 0.5000
S: 0.0000 0.5000 0.0000
Cl: 0.0000 0.0000 0.5000

Computed properties:
formation energy from raw total energies	1.10	eV per atom
polymorph energy (0 for the lowest one)	1121.9	meV per atom
total magnetization	4.19	μB per cell

Record 23
Density functional theory data (PBE-GGA) for crystalline YSnSCl2 at its relaxed geometry.

a = 5.2459 Å, b = 5.2459 Å, c = 5.3488 Å
α = 90.00°, β = 90.00°, γ = 90.00°
Space group P4/mmm (No. 123)
Unique sites:
Y: 0.0000 0.0000 0.0000
Sn: 0.5000 0.5000 0.5000
S: 0.0000 0.0000 0.5000
Cl: 0.0000 0.5000 0.0000

Computed properties:
formation energy from raw total energies	-1.15	eV per atom
polymorph energy (0 for the lowest one)	0.0	meV per atom
total magnetization	0.99	μB per cell

Record 24
Density functional theory data (PBE-GGA) for crystalline YSnS2Cl at its relaxed geometry.

a = 5.1138 Å, b = 5.1138 Å, c = 5.0397 Å
α = 90.00°, β = 90.00°, γ = 90.00°
Space group P4/mmm (No. 123)
Unique sites:
Y: 0.0000 0.0000 0.0000
Sn: 0.5000 0.5000 0.5000
S: 0.0000 0.5000 0.5000
Cl: 0.5000 0.5000 0.0000

Computed properties:
formation energy from raw total energies	-0.45	eV per atom
polymorph energy (0 for the lowest one)	558.7	meV per atom
total magnetization	0.00	μB per cell

Record 25
Density functional theory data (PBE-GGA) for crystalline YSnS2Cl at its relaxed geometry.

a = 5.2944 Å, b = 5.2944 Å, c = 5.0756 Å
α = 90.00°, β = 90.00°, γ = 90.00°
Space group P4/mmm (No. 123)
Unique sites:
Y: 0.0000 0.0000 0.0000
Sn: 0.5000 0.5000 0.5000
S: 0.0000 0.5000 0.0000
Cl: 0.0000 0.0000 0.5000

Computed properties:
formation energy from raw total energies	-1.01	eV per atom
polymorph energy (0 for the lowest one)	0.0	meV per atom
total magnetization	0.00	μB per cell

Record 26
Density functional theory data (PBE-GGA) for crystalline YSnSCl2 at its relaxed geometry.

a = 5.2441 Å, b = 5.2441 Å, c = 5.4338 Å
α = 90.00°, β = 90.00°, γ = 90.00°
Space group P4/mmm (No. 123)
Unique sites:
Y: 0.0000 0.0000 0.0000
Sn: 0.5000 0.5000 0.5000
S: 0.5000 0.5000 0.0000
Cl: 0.0000 0.5000 0.5000

Computed properties:
formation energy from raw total energies	-0.43	eV per atom
polymorph energy (0 for the lowest one)	721.5	meV per atom
total magnetization	1.08	μB per cell

Record 27
Density functional theory data (PBE-GGA) for crystalline ZnSnSCl2 at its relaxed geometry.

a = 4.7580 Å, b = 4.7580 Å, c = 4.9858 Å
α = 90.00°, β = 90.00°, γ = 90.00°
Space group P4/mmm (No. 123)
Unique sites:
Zn: 0.0000 0.0000 0.0000
Sn: 0.5000 0.5000 0.5000
S: 0.0000 0.0000 0.5000
Cl: 0.0000 0.5000 0.0000

Computed properties:
formation energy from raw total energies	-0.50	eV per atom
polymorph energy (0 for the lowest one)	0.0	meV per atom
total magnetization	0.00	μB per cell

Record 28
Density functional theory data (PBE-GGA) for crystalline ZnSnSCl2 at its relaxed geometry.

a = 5.2299 Å, b = 5.2299 Å, c = 5.0757 Å
α = 90.00°, β = 90.00°, γ = 90.00°
Space group P4/mmm (No. 123)
Unique sites:
Zn: 0.0000 0.0000 0.0000
Sn: 0.5000 0.5000 0.5000
S: 0.5000 0.5000 0.0000
Cl: 0.0000 0.5000 0.5000

Computed properties:
formation energy from raw total energies	-0.18	eV per atom
polymorph energy (0 for the lowest one)	325.8	meV per atom
total magnetization	0.00	μB per cell